(1)
Below is a PBEsol-optimized structure of HgOs3W, with properties calculated at the meta-GGA SCAN level.

Summary:
E_form = 3.80 eV per atom
V = 103.44 Å³ per cell

```
HgOs3W
1.0
4.694 0.000 0.000
0.000 4.694 0.000
0.000 0.000 4.694
Hg Os W
1 3 1
Cartesian
0.000 0.000 0.000
0.000 0.000 2.347
0.000 2.347 0.000
2.347 0.000 0.000
2.347 2.347 2.347
```

=====

(2)
Below is a PBEsol-optimized structure of LaZr9O20, with properties calculated at the meta-GGA SCAN level.

Summary:
Energy above the most stable polymorph in this dataset = 36 meV/atom
Energy relative to the elements, uncorrected = -3.63 eV per atom
V = 337.29 Å³ per cell

```
LaZr9O20
1.0
6.281 0.000 0.000
-2.089 6.947 0.000
-1.046 -2.221 7.730
La Zr O
1 9 20
Cartesian
0.000 0.000 0.000
-1.045 3.473 0.000
0.003 1.900 3.114
-1.024 5.360 3.107
1.039 0.321 6.172
0.001 3.767 6.184
3.144 0.960 1.547
2.106 4.405 1.559
4.169 -0.634 4.623
3.142 2.826 4.617
-1.082 -0.191 6.487
-2.018 3.026 6.468
-0.027 -0.021 4.220
-1.038 3.477 4.204
0.085 3.795 1.931
1.148 0.355 2.063
0.038 1.880 7.354
1.184 -1.532 7.289
1.015 2.173 5.003
2.054 -1.259 4.989
1.090 5.985 2.741
2.130 2.553 2.727
1.961 6.258 0.441
3.107 2.846 0.377
1.997 4.371 5.667
3.060 0.931 5.800
4.182 1.249 3.526
3.172 4.747 3.510
5.163 1.700 1.262
4.227 4.917 1.243
```

=====

(3)
Below is a PBEsol-optimized structure of TaCrNi2, with properties calculated at the meta-GGA SCAN level.

Summary:
Energy above the most stable polymorph in this dataset = 0 meV/atom
E_form = -0.12 eV per atom
V = 98.07 Å³ per cell

```
TaCrNi2
1.0
3.619 0.000 0.000
0.000 3.619 0.000
0.000 0.000 7.488
Ta Cr Ni
2 2 4
Cartesian
0.000 0.000 0.000
1.810 1.810 3.744
0.000 0.000 3.744
1.810 1.810 0.000
0.000 1.810 1.872
0.000 1.810 5.616
1.810 0.000 1.872
1.810 0.000 5.616
```

=====

(4)
Below is a PBEsol-optimized structure of Al2FeTc, with properties calculated at the meta-GGA SCAN level.

Summary:
Energy above the most stable polymorph in this dataset = 122 meV/atom
E_form = -0.23 eV per atom
V = 106.39 Å³ per cell

```
Al2FeTc
1.0
8.445 0.000 0.000
0.000 2.664 0.000
-0.813 0.000 4.730
Al Fe Tc
4 2 2
Cartesian
1.878 0.000 1.150
1.532 1.332 3.580
6.100 1.332 1.150
5.755 0.000 3.580
0.000 1.332 0.000
4.222 0.000 0.000
-0.406 0.000 2.365
3.816 1.332 2.365
```

=====

(5)
Below is a PBEsol-optimized structure of AlPWCl2, with properties calculated at the meta-GGA SCAN level.

Summary:
Energy relative to the elements, uncorrected = 0.30 eV per atom
V = 106.97 Å³ per cell

```
AlPWCl2
1.0
4.753 0.000 0.000
0.000 4.753 0.000
0.000 0.000 4.735
Al P W Cl
1 1 1 2
Cartesian
0.000 0.000 0.000
2.376 2.376 0.000
2.376 2.376 2.368
0.000 2.376 2.368
2.376 0.000 2.368
```

=====

(6)
Below is a PBEsol-optimized structure of TaIn2Mo, with properties calculated at the meta-GGA SCAN level.

Summary:
Energy above the most stable polymorph in this dataset = 0 meV/atom
E_form = 0.23 eV per atom
V = 73.38 Å³ per cell

```
TaIn2Mo
1.0
2.899 0.000 0.000
0.000 4.727 0.000
-0.598 0.000 5.355
Ta In Mo
1 2 1
Cartesian
0.000 0.000 0.000
1.215 0.000 2.783
1.648 2.363 1.235
-0.036 2.363 4.013
```

=====

(7)
Below is a PBEsol-optimized structure of CaLa2Au2, with properties calculated at the meta-GGA SCAN level.

Summary:
E_form = -0.89 eV per atom
V = 275.36 Å³ per cell

```
CaLa2Au2
1.0
8.350 0.000 0.000
0.000 8.350 0.000
0.000 0.000 3.950
Ca La Au
2 4 4
Cartesian
0.000 0.000 0.000
4.175 4.175 0.000
1.350 2.825 1.975
2.825 7.000 1.975
5.525 1.350 1.975
7.000 5.525 1.975
1.110 5.284 0.000
3.065 1.110 0.000
5.284 7.240 0.000
7.240 3.065 0.000
```

=====

(8)
Below is a PBEsol-optimized structure of MoWN2F, with properties calculated at the meta-GGA SCAN level.

Summary:
Energy relative to the elements, uncorrected = 0.67 eV per atom
V = 60.13 Å³ per cell

```
MoWN2F
1.0
3.958 0.000 0.000
0.000 3.958 0.000
0.000 0.000 3.838
Mo W N F
1 1 2 1
Cartesian
0.000 0.000 0.000
1.979 1.979 1.919
0.000 1.979 0.000
1.979 0.000 0.000
0.000 0.000 1.919
```

=====

(9)
Below is a PBEsol-optimized structure of Te2MoO7, with properties calculated at the meta-GGA SCAN level.

Summary:
Energy relative to the elements, uncorrected = -1.49 eV per atom
V = 575.84 Å³ per cell

```
Te2MoO7
1.0
4.155 0.000 0.000
0.000 8.863 0.000
-1.327 0.000 15.637
Te Mo O
8 4 28
Cartesian
0.204 0.364 4.370
-0.459 4.068 12.188
0.558 1.830 9.507
1.221 2.601 1.688
1.607 6.262 13.949
2.271 7.033 6.130
3.288 4.795 3.449
2.624 8.499 11.267
-0.307 5.606 8.904
0.357 7.688 1.085
2.472 1.175 14.552
3.135 3.257 6.733
-0.015 6.004 1.025
-0.679 7.290 8.843
0.051 0.927 0.795
-0.613 3.504 8.613
-0.710 5.312 10.742
-0.047 7.982 2.924
-0.745 5.715 13.448
-0.082 7.579 5.630
0.850 0.201 10.711
1.514 4.230 2.893
1.535 1.410 3.106
0.872 3.022 10.925
0.754 1.093 14.558
1.417 3.338 6.740
1.411 5.525 8.897
2.074 7.770 1.079
1.957 5.841 4.712
1.293 7.453 12.531
1.315 4.633 12.744
1.978 8.662 4.925
2.910 1.284 10.007
3.574 3.148 2.189
2.875 0.881 12.713
3.539 3.550 4.895
3.441 5.359 7.024
2.778 7.936 14.842
3.507 1.573 6.794
2.844 2.859 14.612
```

=====

(10)
Below is a PBEsol-optimized structure of La2CrCd, with properties calculated at the meta-GGA SCAN level.

Summary:
E_form = 0.02 eV per atom
V = 101.43 Å³ per cell

```
La2CrCd
1.0
3.641 0.000 0.000
0.000 3.641 0.000
0.000 0.000 7.652
La Cr Cd
2 1 1
Cartesian
0.000 0.000 0.000
1.820 1.820 2.354
1.820 1.820 5.797
0.000 0.000 4.426
```

=====

(11)
Below is a PBEsol-optimized structure of TlGe3Te, with properties calculated at the meta-GGA SCAN level.

Summary:
Energy relative to the elements, uncorrected = 0.89 eV per atom
V = 158.05 Å³ per cell

```
TlGe3Te
1.0
5.407 0.000 0.000
0.000 5.407 0.000
0.000 0.000 5.407
Tl Ge Te
1 3 1
Cartesian
0.000 0.000 0.000
0.000 2.703 2.703
2.703 0.000 2.703
2.703 2.703 0.000
2.703 2.703 2.703
```

=====

(12)
Below is a PBEsol-optimized structure of GeIN2O, with properties calculated at the meta-GGA SCAN level.

Summary:
Energy relative to the elements, uncorrected = 1.31 eV per atom
V = 84.84 Å³ per cell

```
GeIN2O
1.0
3.544 0.000 0.000
0.000 3.544 0.000
0.000 0.000 6.756
Ge I N O
1 1 2 1
Cartesian
0.000 0.000 0.000
0.000 0.000 3.378
0.000 1.772 0.000
1.772 0.000 0.000
1.772 1.772 3.378
```